Record 1
A plane-wave DFT calculation with PBE was carried out for a geometry-optimized InPb3 structure.

```
InPb3
1.0
6.728 -0.003 -0.024
3.111 5.966 0.024
-4.028 -4.453 3.036
Pb In
3 1
direct
0.501 0.500 0.001
0.416 0.752 0.665
0.913 0.248 0.665
0.003 0.000 0.003
```

Properties
Uncorrected energy: -3.439 eV per atom

***

Record 2
A plane-wave DFT calculation with PBE was carried out for a geometry-optimized In2Pb structure.

```
In2Pb
1.0
-3.678 3.678 3.414
3.678 -3.678 3.414
3.678 3.678 -3.414
In Pb
4 2
direct
0.354 0.146 0.500
0.854 0.354 0.207
0.146 0.646 0.793
0.646 0.854 0.500
0.750 0.750 0.000
0.250 0.250 0.000
```

Properties
Relative energy among the computed polymorphs: 75.1 meV/atom
Uncorrected energy: -2.973 eV per atom

***

Record 3
A plane-wave DFT calculation with PBE was carried out for a geometry-optimized InPb8 structure.

```
InPb8
1.0
-3.207 3.449 1.155
-3.701 2.218 -6.722
-6.913 -3.603 1.743
Pb In
8 1
direct
0.000 0.333 0.667
0.336 0.000 0.329
0.664 0.000 0.671
0.664 0.671 0.000
0.336 0.329 0.000
0.000 0.667 0.333
0.333 0.667 0.667
0.667 0.333 0.333
0.000 0.000 0.000
```

Properties
Uncorrected energy: -3.593 eV per atom

***

Record 4
A plane-wave DFT calculation with PBE was carried out for a geometry-optimized InPb structure.

```
InPb
1.0
5.311 0.000 0.000
-2.656 4.600 0.000
0.000 0.000 10.228
In Pb
4 4
direct
0.333 0.667 0.750
0.667 0.333 0.250
0.000 0.000 0.750
0.000 0.000 0.250
0.333 0.667 0.425
0.667 0.333 0.925
0.333 0.667 0.075
0.667 0.333 0.575
```

Properties
Uncorrected energy: -3.142 eV per atom

***

Record 5
A plane-wave DFT calculation with PBE was carried out for a geometry-optimized InPb structure.

```
InPb
1.0
-6.020 -0.375 -0.313
-4.805 -2.067 5.209
-1.310 3.093 1.205
In Pb
2 2
direct
0.845 0.661 0.748
0.072 0.922 0.002
0.343 0.151 0.253
0.574 0.432 0.497
```

Properties
Uncorrected energy: -3.211 eV per atom

***

Record 6
A plane-wave DFT calculation with PBE was carried out for a geometry-optimized InPb structure.

```
InPb
1.0
-0.224 10.616 -4.463
-1.909 8.944 -7.003
-3.650 10.079 -4.215
Pb In
2 2
direct
0.498 0.498 0.498
0.252 0.252 0.252
0.748 0.748 0.748
0.002 0.002 0.002
```

Properties
Uncorrected energy: -3.192 eV per atom

***

Record 7
A plane-wave DFT calculation with PBE was carried out for a geometry-optimized InPb structure.

```
InPb
1.0
4.831 0.000 0.000
2.416 4.184 0.000
2.416 1.395 3.945
In Pb
1 1
direct
0.000 0.000 0.000
0.750 0.750 0.750
```

Properties
Uncorrected energy: -2.932 eV per atom

***

Record 8
A plane-wave DFT calculation with PBE was carried out for a geometry-optimized In13Pb2 structure.

```
In13Pb2
1.0
-2.831 -1.600 -7.875
2.765 -6.874 -4.206
-6.100 -7.144 -0.964
In Pb
13 2
direct
0.741 0.741 0.402
0.485 0.485 0.172
0.259 0.259 0.598
0.741 0.115 0.402
0.143 0.515 0.828
0.857 0.485 0.172
0.485 0.857 0.172
0.259 0.885 0.598
0.115 0.741 0.402
0.885 0.259 0.598
0.515 0.515 0.828
0.515 0.143 0.828
0.500 0.500 0.500
0.261 0.261 0.217
0.739 0.739 0.783
```

Properties
Uncorrected energy: -2.721 eV per atom

***

Record 9
A plane-wave DFT calculation with PBE was carried out for a geometry-optimized InPb7 structure.

```
InPb7
1.0
-0.409 4.305 5.580
-5.901 0.213 3.868
-0.038 -2.681 6.531
Pb In
7 1
direct
0.500 0.500 0.000
0.000 0.000 0.500
0.000 0.500 0.000
0.000 0.500 0.500
0.500 0.000 0.000
0.500 0.500 0.500
0.500 0.000 0.500
0.000 0.000 0.000
```

Properties
Uncorrected energy: -3.576 eV per atom

***

Record 10
A plane-wave DFT calculation with PBE was carried out for a geometry-optimized In2Pb structure.

```
In2Pb
1.0
3.499 0.000 0.000
-1.750 3.031 0.000
0.000 0.000 8.164
In Pb
2 1
direct
0.333 0.667 0.342
0.667 0.333 0.658
0.000 0.000 0.000
```

Properties
Relative energy among the computed polymorphs: 10.0 meV/atom
Uncorrected energy: -3.038 eV per atom

***

Record 11
A plane-wave DFT calculation with PBE was carried out for a geometry-optimized InPb structure.

```
InPb
1.0
-2.249 0.771 -2.396
-1.201 -0.207 3.148
2.198 11.327 1.584
In Pb
2 2
direct
0.000 0.000 0.994
0.500 0.500 0.756
0.500 0.500 0.244
0.000 0.000 0.506
```

Properties
Uncorrected energy: -3.183 eV per atom

***

Record 12
A plane-wave DFT calculation with PBE was carried out for a geometry-optimized In2Pb structure.

```
In2Pb
1.0
5.363 0.000 0.000
-2.682 4.645 0.000
0.000 0.000 3.475
In Pb
2 1
direct
0.667 0.333 0.500
0.333 0.667 0.500
0.000 0.000 0.000
```

Properties
Relative energy among the computed polymorphs: 23.6 meV/atom
Uncorrected energy: -3.024 eV per atom

***

Record 13
A plane-wave DFT calculation with PBE was carried out for a geometry-optimized In4Pb5 structure.

```
In4Pb5
1.0
-1.169 -8.338 4.517
0.061 0.293 -9.550
6.745 -0.938 0.014
In Pb
8 10
direct
0.354 0.000 0.250
0.354 0.354 0.750
0.646 0.646 0.250
0.000 0.000 0.500
0.000 0.000 0.000
0.646 0.000 0.750
0.000 0.646 0.750
0.000 0.354 0.250
0.333 0.667 0.500
0.667 0.333 0.000
0.685 0.000 0.250
0.000 0.315 0.750
0.315 0.000 0.750
0.000 0.685 0.250
0.667 0.333 0.500
0.685 0.685 0.750
0.315 0.315 0.250
0.333 0.667 0.000
```

Properties
Relative energy among the computed polymorphs: 18.2 meV/atom
Uncorrected energy: -3.221 eV per atom

***

Record 14
A plane-wave DFT calculation with PBE was carried out for a geometry-optimized InPb structure.

```
InPb
1.0
-2.477 -1.524 1.853
0.808 -2.222 2.532
-0.487 3.005 5.377
Pb In
1 1
direct
0.500 0.000 0.500
0.000 0.500 0.000
```

Properties
Uncorrected energy: -3.204 eV per atom

***

Record 15
A plane-wave DFT calculation with PBE was carried out for a geometry-optimized InPb structure.

```
InPb
1.0
-2.547 0.903 -2.142
-4.275 -0.773 4.341
2.740 4.905 2.218
Pb In
2 2
direct
0.378 0.636 0.752
0.622 0.364 0.248
0.137 0.875 0.253
0.863 0.125 0.747
```

Properties
Uncorrected energy: -3.200 eV per atom

***

Record 16
A plane-wave DFT calculation with PBE was carried out for a geometry-optimized In13Pb3 structure.

```
In13Pb3
1.0
-4.058 -5.628 1.017
4.030 -3.685 -4.400
5.290 -2.553 6.982
In Pb
13 3
direct
0.499 0.997 0.747
0.232 0.768 0.000
0.762 0.756 0.000
0.730 0.728 0.500
0.272 0.270 0.500
0.003 0.501 0.253
0.728 0.272 0.500
0.496 0.504 0.222
0.003 0.501 0.747
0.496 0.504 0.778
0.270 0.730 0.500
0.499 0.997 0.253
0.244 0.238 0.000
0.765 0.235 0.000
0.000 0.000 0.285
0.000 0.000 0.715
```

Properties
Uncorrected energy: -2.901 eV per atom

***

Record 17
A plane-wave DFT calculation with PBE was carried out for a geometry-optimized In8Pb3 structure.

```
In8Pb3
1.0
-2.660 -1.357 4.232
-1.501 -2.478 -4.908
10.229 -6.138 4.461
In Pb
8 3
direct
0.456 0.911 0.183
0.183 0.366 0.273
0.725 0.451 0.088
0.638 0.276 0.455
0.817 0.634 0.727
0.544 0.089 0.817
0.275 0.549 0.912
0.362 0.724 0.545
0.000 0.000 0.000
0.907 0.813 0.360
0.093 0.187 0.640
```

Properties
Uncorrected energy: -2.975 eV per atom

***

Record 18
A plane-wave DFT calculation with PBE was carried out for a geometry-optimized InPb structure.

```
InPb
1.0
-2.803 8.972 0.077
-8.339 -2.635 3.447
3.312 0.960 8.745
Pb In
8 8
direct
0.663 0.337 0.663
0.337 0.337 0.337
0.663 0.663 0.337
0.837 0.837 0.837
0.163 0.163 0.837
0.337 0.663 0.663
0.837 0.163 0.163
0.163 0.837 0.163
0.841 0.159 0.841
0.159 0.159 0.159
0.159 0.841 0.841
0.341 0.659 0.341
0.659 0.341 0.341
0.659 0.659 0.659
0.341 0.341 0.659
0.841 0.841 0.159
```

Properties
Uncorrected energy: -2.817 eV per atom

***

Record 19
A plane-wave DFT calculation with PBE was carried out for a geometry-optimized In2Pb structure.

```
In2Pb
1.0
-2.151 2.964 4.569
-5.498 -1.216 1.605
5.406 -2.110 -0.777
In Pb
2 1
direct
0.665 0.665 0.000
0.335 0.335 0.000
0.000 0.000 0.000
```

Properties
Relative energy among the computed polymorphs: 6.6 meV/atom
Uncorrected energy: -3.041 eV per atom

***

Record 20
A plane-wave DFT calculation with PBE was carried out for a geometry-optimized In2Pb structure.

```
In2Pb
1.0
-0.077 -0.629 -5.405
-2.958 -3.293 3.165
-5.254 4.310 -0.427
In Pb
4 2
direct
0.000 0.000 0.000
0.667 0.333 0.750
0.333 0.667 0.250
0.000 0.000 0.500
0.333 0.667 0.750
0.667 0.333 0.250
```

Properties
Relative energy among the computed polymorphs: 54.0 meV/atom
Uncorrected energy: -2.994 eV per atom

***

Record 21
A plane-wave DFT calculation with PBE was carried out for a geometry-optimized InPb structure.

```
InPb
1.0
-2.139 0.999 8.313
-8.672 -2.703 -1.906
3.137 -11.620 2.204
In Pb
16 16
direct
0.681 0.000 0.000
0.181 0.000 0.500
0.819 0.000 0.500
0.069 0.250 0.250
0.569 0.750 0.250
0.431 0.750 0.750
0.319 0.000 0.000
0.181 0.500 0.000
0.681 0.500 0.500
0.931 0.750 0.250
0.431 0.250 0.250
0.819 0.500 0.000
0.569 0.250 0.750
0.069 0.750 0.750
0.319 0.500 0.500
0.931 0.250 0.750
0.250 0.561 0.250
0.000 0.689 0.500
0.000 0.311 0.500
0.250 0.439 0.750
0.250 0.061 0.750
0.500 0.811 0.500
0.750 0.939 0.750
0.250 0.939 0.250
0.750 0.439 0.250
0.000 0.811 0.000
0.500 0.311 0.000
0.750 0.561 0.750
0.500 0.189 0.500
0.000 0.189 0.000
0.500 0.689 0.000
0.750 0.061 0.250
```

Properties
Uncorrected energy: -3.124 eV per atom

***

Record 22
A plane-wave DFT calculation with PBE was carried out for a geometry-optimized InPb3 structure.

```
InPb3
1.0
-1.141 -3.673 -4.328
-0.880 -2.419 2.285
-5.912 1.742 0.081
Pb In
3 1
direct
0.500 0.241 0.246
0.500 0.759 0.754
0.000 0.500 0.500
0.000 0.000 0.000
```

Properties
Uncorrected energy: -3.416 eV per atom

***

Record 23
A plane-wave DFT calculation with PBE was carried out for a geometry-optimized InPb structure.

```
InPb
1.0
8.426 0.000 0.000
0.000 8.426 0.000
0.000 0.000 8.426
Pb In
6 6
direct
0.000 0.750 0.500
0.250 0.500 0.000
0.000 0.250 0.500
0.500 0.000 0.750
0.750 0.500 0.000
0.500 0.000 0.250
0.750 0.000 0.500
0.250 0.000 0.500
0.000 0.500 0.750
0.500 0.750 0.000
0.500 0.250 0.000
0.000 0.500 0.250
```

Properties
Uncorrected energy: -2.839 eV per atom